[1]
{"formula": "HfCrP2S", "functional": "PBE", "state": "optimized geometry", "raw_formation_energy_ev_per_atom": 0.810, "de_polymorph_kj_per_mol_atoms": 58.0, "space_group": "No. 123", "cell": [[4.9670, 0.0000, 0.0000], [0.0000, 4.9670, 0.0000], [0.0000, 0.0000, 4.7914]], "species": ["Hf", "Cr", "P", "P", "S"], "frac_coords": [[0.0000, 0.0000, 0.0000], [0.5000, 0.5000, 0.5000], [0.0000, 0.5000, 0.0000], [0.5000, 0.0000, 0.0000], [0.0000, 0.0000, 0.5000]]}

=====

[2]
{"formula": "HfCrPS2", "functional": "PBE", "state": "optimized geometry", "raw_formation_energy_ev_per_atom": 0.033, "de_polymorph_kj_per_mol_atoms": 1.9, "space_group": "No. 123", "cell": [[4.4246, 0.0000, 0.0000], [0.0000, 4.4246, 0.0000], [0.0000, 0.0000, 4.6274]], "species": ["Hf", "Cr", "P", "S", "S"], "frac_coords": [[0.0000, 0.0000, 0.0000], [0.5000, 0.5000, 0.5000], [0.5000, 0.5000, 0.0000], [0.0000, 0.5000, 0.5000], [0.5000, 0.0000, 0.5000]]}

=====

[3]
{"formula": "HfCrP2S", "functional": "PBE", "state": "optimized geometry", "raw_formation_energy_ev_per_atom": 0.209, "de_polymorph_kj_per_mol_atoms": 0.0, "space_group": "No. 123", "cell": [[4.2658, 0.0000, 0.0000], [0.0000, 4.2658, 0.0000], [0.0000, 0.0000, 4.8534]], "species": ["Hf", "Cr", "P", "P", "S"], "frac_coords": [[0.0000, 0.0000, 0.0000], [0.5000, 0.5000, 0.5000], [0.0000, 0.5000, 0.5000], [0.5000, 0.0000, 0.5000], [0.5000, 0.5000, 0.0000]]}

=====

[4]
{"formula": "HfCrPS2", "functional": "PBE", "state": "optimized geometry", "raw_formation_energy_ev_per_atom": 0.013, "de_polymorph_kj_per_mol_atoms": 0.0, "space_group": "No. 123", "cell": [[4.8796, 0.0000, 0.0000], [0.0000, 4.8796, 0.0000], [0.0000, 0.0000, 5.0549]], "species": ["Hf", "Cr", "P", "S", "S"], "frac_coords": [[0.0000, 0.0000, 0.0000], [0.5000, 0.5000, 0.5000], [0.0000, 0.0000, 0.5000], [0.0000, 0.5000, 0.0000], [0.5000, 0.0000, 0.0000]]}

=====

[5]
{"formula": "HfTaCrP2", "functional": "PBE", "state": "optimized geometry", "ef_ev_per_atom": 0.691, "space_group": "No. 123", "cell": [[4.3367, 0.0000, 0.0000], [0.0000, 4.3367, 0.0000], [0.0000, 0.0000, 4.8170]], "species": ["Hf", "Ta", "Cr", "P", "P"], "frac_coords": [[0.0000, 0.0000, 0.0000], [0.5000, 0.5000, 0.0000], [0.0000, 0.0000, 0.5000], [0.0000, 0.5000, 0.5000], [0.5000, 0.0000, 0.5000]]}

=====

[6]
{"formula": "Hf2CrTeP", "functional": "PBE", "state": "optimized geometry", "raw_formation_energy_ev_per_atom": 1.359, "space_group": "No. 123", "cell": [[5.2484, 0.0000, 0.0000], [0.0000, 5.2484, 0.0000], [0.0000, 0.0000, 4.5363]], "species": ["Hf", "Hf", "Cr", "Te", "P"], "frac_coords": [[0.0000, 0.5000, 0.0000], [0.5000, 0.0000, 0.0000], [0.0000, 0.0000, 0.5000], [0.0000, 0.0000, 0.0000], [0.5000, 0.5000, 0.5000]]}

=====

[7]
{"formula": "HfTiCrP2", "functional": "PBE", "state": "optimized geometry", "ef_ev_per_atom": 0.889, "space_group": "No. 123", "cell": [[4.8790, 0.0000, 0.0000], [0.0000, 4.8790, 0.0000], [0.0000, 0.0000, 4.7813]], "species": ["Hf", "Ti", "Cr", "P", "P"], "frac_coords": [[0.0000, 0.0000, 0.0000], [0.5000, 0.5000, 0.5000], [0.0000, 0.0000, 0.5000], [0.0000, 0.5000, 0.0000], [0.5000, 0.0000, 0.0000]]}

=====

[8]
{"formula": "HfVCrP2", "functional": "PBE", "state": "optimized geometry", "ef_ev_per_atom": 1.276, "de_polymorph_kj_per_mol_atoms": 0.0, "space_group": "No. 123", "cell": [[4.8620, 0.0000, 0.0000], [0.0000, 4.8620, 0.0000], [0.0000, 0.0000, 4.7333]], "species": ["Hf", "V", "Cr", "P", "P"], "frac_coords": [[0.0000, 0.0000, 0.0000], [0.5000, 0.5000, 0.5000], [0.0000, 0.0000, 0.5000], [0.0000, 0.5000, 0.0000], [0.5000, 0.0000, 0.0000]]}

=====

Number 1: energy -6.0948 eV per atom. Number 2: energy -6.6152 eV per atom. Number 3: energy -6.6956 eV per atom. Number 4: energy -6.6352 eV per atom. Number 5: energy -7.7585 eV per atom. Number 6: energy -6.2575 eV per atom. Number 7: energy -6.7690 eV per atom. Number 8: energy -6.6270 eV per atom.